1.
This record from the Alexandria database describes a relaxed BeSbPt2 crystal. The functional is PBE.

Computed properties:
Uncorrected formation energy: -263 meV/atom
Energy: -20.98 eV for the cell shown
D(E_F): 0.256 states/eV/atom

Lattice parameters (Å, degrees): 4.7402 4.7402 4.7402 134.64 117.02 80.97
Positions (direct):
Be 0.0000 0.0000 0.0000
Sb 0.5000 0.5000 0.0000
Pt 0.1968 0.6968 0.5000
Pt 0.8032 0.3032 0.5000

---

2.
This record from the Alexandria database describes a relaxed NaPuCuO6 crystal. The functional is PBE.

Computed properties:
Uncorrected formation energy: -1398 meV/atom
Energy: -124.16 eV for the cell shown
D(E_F): 0.312 states/eV/atom

Lattice parameters (Å, degrees): 4.9809 4.9809 9.2983 90.00 90.00 90.00
Positions (direct):
Na 0.0000 0.0000 0.0000
Na 0.5000 0.5000 0.5000
Pu 0.0000 0.0000 0.3434
Pu 0.5000 0.5000 0.8434
Cu 0.0000 0.0000 0.6748
Cu 0.5000 0.5000 0.1748
O 0.1709 0.1709 0.5142
O 0.1888 0.1888 0.2001
O 0.2032 0.2032 0.8158
O 0.2968 0.7032 0.3158
O 0.3112 0.6888 0.7001
O 0.3291 0.6709 0.0142
O 0.6709 0.3291 0.0142
O 0.6888 0.3112 0.7001
O 0.7032 0.2968 0.3158
O 0.7968 0.7968 0.8158
O 0.8112 0.8112 0.2001
O 0.8291 0.8291 0.5142

---

3.
This record from the Alexandria database describes a relaxed BaLaSc crystal. The functional is PBE.

Computed properties:
Calculated formation energy: 0.280 eV per atom
Energy: -24.68 eV for the cell shown
D(E_F): 1.555 states/eV/atom

Lattice parameters (Å, degrees): 6.5825 6.5950 7.0598 62.37 62.27 60.24
Positions (direct):
Ba 0.0000 0.0000 0.0000
Ba 0.2976 0.2913 0.1143
La 0.1557 0.7596 0.5554
La 0.7688 0.5286 0.5582
Sc 0.5424 0.1434 0.5572
Sc 0.6455 0.6461 0.0559

---

4.
This record from the Alexandria database describes a relaxed RbSeI crystal. The functional is PBE.

Computed properties:
Uncorrected formation energy: -736 meV/atom
Energy: -16.42 eV for the cell shown

Lattice parameters (Å, degrees): 5.3966 8.9518 5.4083 90.00 102.13 90.00
Positions (direct):
Rb 0.1262 0.0000 0.3689
Rb 0.8738 0.5000 0.6311
Se 0.2957 0.5047 0.2090
Se 0.7043 0.0047 0.7910
I 0.4990 0.2542 0.0011
I 0.5010 0.7542 0.9989

---

5.
This record from the Alexandria database describes a relaxed Ba14Na14LiN6 crystal. The functional is PBE.

Computed properties:
Uncorrected formation energy: -245 meV/atom
Energy: -105.83 eV for the cell shown
D(E_F): 0.450 states/eV/atom

Lattice parameters (Å, degrees): 12.5839 12.5839 12.5839 60.00 60.00 60.00
Positions (direct):
Ba 0.1889 0.6037 0.6037
Ba 0.2109 0.2109 0.7891
Ba 0.2109 0.7891 0.2109
Ba 0.2109 0.7891 0.7891
Ba 0.3963 0.3963 0.3963
Ba 0.3963 0.3963 0.8111
Ba 0.3963 0.8111 0.3963
Ba 0.6037 0.1889 0.6037
Ba 0.6037 0.6037 0.1889
Ba 0.6037 0.6037 0.6037
Ba 0.7891 0.2109 0.2109
Ba 0.7891 0.2109 0.7891
Ba 0.7891 0.7891 0.2109
Ba 0.8111 0.3963 0.3963
Na 0.0000 0.0000 0.5000
Na 0.0000 0.5000 0.0000
Na 0.0000 0.5000 0.5000
Na 0.1721 0.1721 0.1721
Na 0.1721 0.1721 0.4837
Na 0.1721 0.4837 0.1721
Na 0.4837 0.1721 0.1721
Na 0.5000 0.0000 0.0000
Na 0.5000 0.0000 0.5000
Na 0.5000 0.5000 0.0000
Na 0.5163 0.8279 0.8279
Na 0.8279 0.5163 0.8279
Na 0.8279 0.8279 0.5163
Na 0.8279 0.8279 0.8279
Li 0.5000 0.5000 0.5000
N 0.3515 0.3515 0.6485
N 0.3515 0.6485 0.3515
N 0.3515 0.6485 0.6485
N 0.6485 0.3515 0.3515
N 0.6485 0.3515 0.6485
N 0.6485 0.6485 0.3515

---

6.
This record from the Alexandria database describes a relaxed Li2MgAu crystal. The functional is PBE.

Computed properties:
Calculated formation energy: -0.195 eV per atom
Energy: -9.48 eV for the cell shown
D(E_F): 0.299 states/eV/atom

Lattice parameters (Å, degrees): 6.1400 6.1400 6.1400 152.15 134.25 54.41
Positions (direct):
Li 0.2284 0.2284 0.0000
Li 0.7716 0.7716 0.0000
Mg 0.5000 0.5000 0.0000
Au 0.0000 0.0000 0.0000